[1]
# Ga2BiI6Br2

A relaxed Ga2BiI6Br2 crystal (PBE, the Alexandria database).

## Properties
space-group type: P-3 (147)
formation energy (no corrections): -0.438 eV/atom

Structure (POSCAR):
```
Ga2BiI6Br2
1.0
7.6657 0.0000 0.0000
-3.8328 6.6387 0.0000
0.0000 0.0000 10.4462
I Bi Br Ga
6 1 2 2
Direct
0.6644 0.9943 0.8193 I
0.0057 0.6701 0.8193 I
0.9943 0.3299 0.1807 I
0.3356 0.0057 0.1807 I
0.3299 0.3356 0.8193 I
0.6701 0.6644 0.1807 I
0.0000 0.0000 0.0000 Bi
0.6667 0.3333 0.4931 Br
0.3333 0.6667 0.5069 Br
0.3333 0.6667 0.7298 Ga
0.6667 0.3333 0.2702 Ga
```



[2]
# In2GaBiBr6

A relaxed In2GaBiBr6 crystal (PBE, the Alexandria database).

## Properties
space-group type: P2_1/c (14)
formation energy (no corrections): -0.675 eV/atom

Structure (POSCAR):
```
In2GaBiBr6
1.0
-4.8064 -5.5758 -1.9160
3.1334 -4.8063 6.1266
-7.8572 3.8878 7.0685
In Br Ga Bi
4 12 2 2
Direct
0.9647 0.0846 0.7428 In
0.4647 0.4154 0.2428 In
0.0353 0.9154 0.2572 In
0.5353 0.5846 0.7572 In
0.6243 0.0419 0.2564 Br
0.3757 0.9581 0.7436 Br
0.6869 0.3191 0.9489 Br
0.8131 0.8191 0.5511 Br
0.1735 0.2057 0.0636 Br
0.1243 0.4581 0.7564 Br
0.1869 0.1809 0.4489 Br
0.6735 0.2943 0.5636 Br
0.3131 0.6809 0.0511 Br
0.8265 0.7943 0.9364 Br
0.8757 0.5419 0.2436 Br
0.3265 0.7057 0.4364 Br
0.0000 0.5000 0.5000 Ga
0.5000 0.0000 0.0000 Ga
0.5000 0.0000 0.5000 Bi
0.0000 0.5000 0.0000 Bi
```



[3]
# K2GaBiBr6

A relaxed K2GaBiBr6 crystal (PBE, the Alexandria database).

## Properties
space-group type: R3 (146)
formation energy (no corrections): -1.125 eV/atom

Structure (POSCAR):
```
K2GaBiBr6
1.0
-6.4440 1.7326 4.4385
-2.4477 -5.1031 5.6757
1.0494 2.0519 7.9561
K Br Bi Ga
2 6 1 1
Direct
0.0274 0.0274 0.9179 K
0.5335 0.5335 0.3995 K
0.6665 0.0970 0.7746 Br
0.4620 0.6664 0.7746 Br
0.1790 0.9833 0.2631 Br
0.9832 0.5746 0.2632 Br
0.0971 0.4620 0.7746 Br
0.5746 0.1790 0.2632 Br
0.3222 0.3222 0.0334 Bi
0.8162 0.8162 0.5512 Ga
```



[4]
# MnGaBi2Br

A relaxed MnGaBi2Br crystal (PBE, the Alexandria database).

## Properties
space-group type: P4/mmm (123)
formation energy (no corrections): 0.650 eV/atom

Structure (POSCAR):
```
MnGaBi2Br
1.0
5.4184 0.0000 0.0000
0.0000 4.9941 0.0000
0.0000 0.0000 5.4184
Mn Ga Bi Br
1 1 2 1
Direct
0.5000 0.5000 0.5000 Mn
0.0000 0.0000 0.0000 Ga
0.0000 0.0000 0.5000 Bi
0.5000 0.0000 0.0000 Bi
0.0000 0.5000 0.0000 Br
```



[5]
# Na2GaBiBr

A relaxed Na2GaBiBr crystal (PBE, the Alexandria database).

## Properties
space-group type: P4/mmm (123)
formation energy (no corrections): 0.154 eV/atom

Structure (POSCAR):
```
Na2GaBiBr
1.0
5.9777 0.0000 0.0000
0.0000 5.3382 0.0000
0.0000 0.0000 5.9777
Na Bi Ga Br
2 1 1 1
Direct
0.0000 0.0000 0.5000 Na
0.5000 0.0000 0.0000 Na
0.5000 0.5000 0.5000 Bi
0.0000 0.0000 0.0000 Ga
0.0000 0.5000 0.0000 Br
```



[6]
# Na2GaBiBr6

A relaxed Na2GaBiBr6 crystal (PBE, the Alexandria database).

## Properties
space-group type: R3 (146)
formation energy (no corrections): -1.030 eV/atom

Structure (POSCAR):
```
Na2GaBiBr6
1.0
7.5521 0.0013 0.0009
3.7771 6.5399 0.0002
3.7767 2.1804 6.8685
Br Ga Bi Na
6 1 1 2
Direct
0.1206 0.4036 0.7601 Br
0.5901 0.2255 0.2481 Br
0.7158 0.1205 0.7602 Br
0.2255 0.9361 0.2480 Br
0.4035 0.7157 0.7600 Br
0.9362 0.5903 0.2481 Br
0.8170 0.8170 0.5492 Ga
0.3250 0.3250 0.0250 Bi
0.5189 0.5188 0.4436 Na
0.0090 0.0091 0.9729 Na
```



[7]
# RbGa2BiBr

A relaxed RbGa2BiBr crystal (PBE, the Alexandria database).

## Properties
space-group type: P4/mmm (123)
formation energy (no corrections): -0.182 eV/atom

Structure (POSCAR):
```
RbGa2BiBr
1.0
-4.7213 2.3640 -1.6523
-4.0148 -6.4026 2.3115
-0.6472 2.2203 5.0260
Ga Bi Rb Br
2 1 1 1
Direct
0.0000 0.0000 0.5000 Ga
0.5000 0.0000 0.0000 Ga
0.0000 0.0000 0.0000 Bi
0.0000 0.5000 0.0000 Rb
0.5000 0.5000 0.5000 Br
```



[8]
# Ga2BiRhBr

A relaxed Ga2BiRhBr crystal (PBE, the Alexandria database).

## Properties
space-group type: P4/mmm (123)
formation energy (no corrections): 0.582 eV/atom

Structure (POSCAR):
```
Ga2BiRhBr
1.0
5.7145 0.0000 0.0000
0.0000 5.1180 0.0000
0.0000 0.0000 5.7145
Bi Rh Ga Br
1 1 2 1
Direct
0.0000 0.0000 0.0000 Bi
0.0000 0.5000 0.0000 Rh
0.0000 0.0000 0.5000 Ga
0.5000 0.0000 0.0000 Ga
0.5000 0.5000 0.5000 Br
```



Total moment (computed, μB/cell): 0.000; 0.000; 0.000; 4.214; 1.214; 0.000; 0.000; 0.875
Final energy (computed, eV/f.u.): -27.395; -29.173; -30.387; -18.383; -10.449; -29.878; -13.486; -16.051